A relaxed structure of Pm5Nd4Cd2. Source: Alexandria, functional PBE-GGA.

abc: 3.5537 8.8019 11.4610
angles: 94.29 90.00 90.00
Element x y z (fractional)
Pm1 0.0000 0.5620 0.2980
Pm2 0.0000 0.2027 0.1660
Pm3 0.0000 0.5000 0.0000
Pm4 0.0000 0.7973 0.8340
Pm5 0.0000 0.4380 0.7020
Nd1 0.5000 0.7350 0.5478
Nd2 0.5000 0.1482 0.8776
Nd3 0.5000 0.2650 0.4522
Nd4 0.5000 0.8518 0.1224
Cd1 0.0000 0.0560 0.6327
Cd2 0.0000 0.9440 0.3673

Formation enthalpy at 0 K ... -8.4 meV per atom
Calculated volume ... 357 Å³/cell
Energy ... -44.747 eV per formula unit
Magnetization ... 0.00 μB/f.u.